[1]
The following is a GGA-PBE calculation of an optimized crystal structure of LiBS2, from Alexandria.

Results
Total energy   -4.854 eV/atom
Formation energy from raw total energies   -0.6425 eV/atom
Total moment   0.00 Bohr magnetons per cell
Density of states at the Fermi level   0.00 states/eV/cell

```
data_LiBS2
_cell_length_a 4.425
_cell_length_b 4.445
_cell_length_c 5.964
_cell_angle_alpha 106.01
_cell_angle_beta 106.72
_cell_angle_gamma 90.07
_symmetry_space_group_name_H-M 'P 1'
_symmetry_Int_Tables_number 1
_symmetry_space_group_name_Hall 'P 1'
loop_
_atom_site_label
_atom_site_type_symbol
_atom_site_fract_x
_atom_site_fract_y
_atom_site_fract_z
Li1 Li 0.000 0.000 0.000
B1 B 0.771 0.225 0.500
S1 S 0.589 0.012 0.211
S2 S 0.975 0.414 0.790
```



[2]
The following is a GGA-PBE calculation of an optimized crystal structure of Li2BS3, from Alexandria.

Results
Total energy   -4.262 eV/atom
Formation energy from raw total energies   -0.4476 eV/atom
Total moment   1.16 Bohr magnetons per cell
Density of states at the Fermi level   5.47 states/eV/cell

```
data_Li2BS3
_cell_length_a 3.899
_cell_length_b 5.819
_cell_length_c 11.268
_cell_angle_alpha 90.00
_cell_angle_beta 90.00
_cell_angle_gamma 90.00
_symmetry_space_group_name_H-M 'I m m m'
_symmetry_Int_Tables_number 71
_symmetry_space_group_name_Hall '-I 2 2'
loop_
_atom_site_label
_atom_site_type_symbol
_atom_site_fract_x
_atom_site_fract_y
_atom_site_fract_z
Li1 Li 0.000 0.000 0.126
B1 B 0.000 0.000 0.500
S1 S 0.000 0.000 0.351
S2 S 0.000 0.500 0.500
```



[3]
The following is a GGA-PBE calculation of an optimized crystal structure of Li3BS, from Alexandria.

Results
Total energy   -3.140 eV/atom
Formation energy from raw total energies   0.1688 eV/atom
Relative energy among the computed polymorphs   0.00 kJ per mole of atoms
Total moment   1.91 Bohr magnetons per cell
Density of states at the Fermi level   2.02 states/eV/cell

```
data_Li3BS
_cell_length_a 4.528
_cell_length_b 4.528
_cell_length_c 4.528
_cell_angle_alpha 90.00
_cell_angle_beta 90.00
_cell_angle_gamma 90.00
_symmetry_space_group_name_H-M 'P m -3 m'
_symmetry_Int_Tables_number 221
_symmetry_space_group_name_Hall '-P 4 2 3'
loop_
_atom_site_label
_atom_site_type_symbol
_atom_site_fract_x
_atom_site_fract_y
_atom_site_fract_z
Li1 Li 0.000 0.000 0.500
B1 B 0.500 0.500 0.500
S1 S 0.000 0.000 0.000
```



[4]
The following is a GGA-PBE calculation of an optimized crystal structure of LiBS2, from Alexandria.

Results
Total energy   -4.704 eV/atom
Formation energy from raw total energies   -0.4920 eV/atom
Total moment   0.00 Bohr magnetons per cell
Density of states at the Fermi level   0.00 states/eV/cell

```
data_LiBS2
_cell_length_a 3.3548
_cell_length_b 3.3548
_cell_length_c 6.1067
_cell_angle_alpha 90.00
_cell_angle_beta 90.00
_cell_angle_gamma 120.00
_symmetry_space_group_name_H-M 'P 3 m 1'
_symmetry_Int_Tables_number 156
_symmetry_space_group_name_Hall 'P 3 -2"'
loop_
_atom_site_label
_atom_site_type_symbol
_atom_site_fract_x
_atom_site_fract_y
_atom_site_fract_z
Li1 Li 0.0000 0.0000 0.0000
B1 B 0.3333 0.6667 0.5185
S1 S 0.3333 0.6667 0.8056
S2 S 0.6667 0.3333 0.3771
```



[5]
The following is a GGA-PBE calculation of an optimized crystal structure of Li5B7S13, from Alexandria.

Results
Total energy   -5.144 eV/atom
Formation energy from raw total energies   -0.7454 eV/atom
Total moment   0.00 Bohr magnetons per cell
Density of states at the Fermi level   0.00 states/eV/cell

```
data_Li5B7S13
_cell_length_a 17.486
_cell_length_b 21.878
_cell_length_c 12.404
_cell_angle_alpha 90.00
_cell_angle_beta 134.03
_cell_angle_gamma 90.00
_symmetry_space_group_name_H-M 'C 1 c 1'
_symmetry_Int_Tables_number 9
_symmetry_space_group_name_Hall 'C -2yc'
loop_
_atom_site_label
_atom_site_type_symbol
_atom_site_fract_x
_atom_site_fract_y
_atom_site_fract_z
Li1 Li 0.000 0.008 0.500
Li2 Li 0.089 0.216 0.649
Li3 Li 0.146 0.393 0.110
Li4 Li 0.153 0.134 0.278
Li5 Li 0.237 0.469 0.921
Li6 Li 0.253 0.034 0.152
Li7 Li 0.291 0.261 0.110
Li8 Li 0.298 0.351 0.744
Li9 Li 0.315 0.112 0.943
Li10 Li 0.389 0.290 0.456
B1 B 0.045 0.374 0.506
B2 B 0.069 0.171 0.948
B3 B 0.079 0.071 0.793
B4 B 0.093 0.274 0.162
B5 B 0.155 0.375 0.386
B6 B 0.207 0.472 0.600
B7 B 0.270 0.029 0.461
B8 B 0.321 0.126 0.676
B9 B 0.386 0.225 0.902
B10 B 0.395 0.426 0.270
B11 B 0.409 0.332 0.107
B12 B 0.431 0.129 0.556
B13 B 0.488 0.026 0.779
B14 B 0.491 0.228 0.786
S1 S 0.041 0.221 0.224
S2 S 0.043 0.425 0.216
S3 S 0.100 0.474 0.936
S4 S 0.106 0.322 0.454
S5 S 0.158 0.423 0.671
S6 S 0.164 0.221 0.130
S7 S 0.169 0.022 0.786
S8 S 0.170 0.121 0.969
S9 S 0.206 0.077 0.512
S10 S 0.208 0.326 0.322
S11 S 0.268 0.176 0.737
S12 S 0.271 0.423 0.550
S13 S 0.305 0.475 0.275
S14 S 0.306 0.378 0.090
S15 S 0.314 0.280 0.929
S16 S 0.318 0.080 0.390
S17 S 0.373 0.180 0.613
S18 S 0.378 0.025 0.120
S19 S 0.432 0.074 0.843
S20 S 0.446 0.279 0.855
S21 S 0.478 0.377 0.453
S22 S 0.480 0.179 0.487
S23 S 0.486 0.481 0.283
S24 S 0.490 0.277 0.275
S25 S 0.495 0.175 0.074
S26 S 0.499 0.383 0.107
```



[6]
The following is a GGA-PBE calculation of an optimized crystal structure of LiBS2, from Alexandria.

Results
Total energy   -4.901 eV/atom
Formation energy from raw total energies   -0.6890 eV/atom
Total moment   0.00 Bohr magnetons per cell
Density of states at the Fermi level   0.00 states/eV/cell

```
data_LiBS2
_cell_length_a 5.985
_cell_length_b 6.046
_cell_length_c 6.301
_cell_angle_alpha 108.86
_cell_angle_beta 108.67
_cell_angle_gamma 100.11
_symmetry_space_group_name_H-M 'P -1'
_symmetry_Int_Tables_number 2
_symmetry_space_group_name_Hall '-P 1'
loop_
_atom_site_label
_atom_site_type_symbol
_atom_site_fract_x
_atom_site_fract_y
_atom_site_fract_z
Li1 Li 0.232 0.234 0.278
B1 B 0.366 0.634 0.002
S1 S 0.179 0.821 0.005
S2 S 0.427 0.430 0.746
```



[7]
The following is a GGA-PBE calculation of an optimized crystal structure of LiBS2, from Alexandria.

Results
Total energy   -4.852 eV/atom
Formation energy from raw total energies   -0.6405 eV/atom
Total moment   0.00 Bohr magnetons per cell
Density of states at the Fermi level   0.00 states/eV/cell

```
data_LiBS2
_cell_length_a 8.387
_cell_length_b 4.145
_cell_length_c 11.924
_cell_angle_alpha 90.00
_cell_angle_beta 98.13
_cell_angle_gamma 90.00
_symmetry_space_group_name_H-M 'P 1 21/c 1'
_symmetry_Int_Tables_number 14
_symmetry_space_group_name_Hall '-P 2ybc'
loop_
_atom_site_label
_atom_site_type_symbol
_atom_site_fract_x
_atom_site_fract_y
_atom_site_fract_z
Li1 Li 0.178 0.013 0.420
B1 B 0.221 0.580 0.237
S1 S 0.117 0.690 0.112
S2 S 0.324 0.510 0.366
```



[8]
The following is a GGA-PBE calculation of an optimized crystal structure of LiB2S3, from Alexandria.

Results
Total energy   -4.931 eV/atom
Formation energy from raw total energies   -0.3225 eV/atom
Total moment   0.00 Bohr magnetons per cell
Density of states at the Fermi level   0.75 states/eV/cell

```
data_LiB2S3
_cell_length_a 17.219
_cell_length_b 3.623
_cell_length_c 6.387
_cell_angle_alpha 90.00
_cell_angle_beta 104.65
_cell_angle_gamma 90.00
_symmetry_space_group_name_H-M 'C 1 2/m 1'
_symmetry_Int_Tables_number 12
_symmetry_space_group_name_Hall '-C 2y'
loop_
_atom_site_label
_atom_site_type_symbol
_atom_site_fract_x
_atom_site_fract_y
_atom_site_fract_z
Li1 Li 0.117 0.000 0.230
B1 B 0.054 0.500 0.682
B2 B 0.201 0.000 0.889
S1 S 0.062 0.500 0.386
S2 S 0.088 0.000 0.826
S3 S 0.239 0.500 0.805
```



[9]
The following is a GGA-PBE calculation of an optimized crystal structure of LiBS2, from Alexandria.

Results
Total energy   -4.903 eV/atom
Formation energy from raw total energies   -0.6917 eV/atom
Total moment   0.00 Bohr magnetons per cell
Density of states at the Fermi level   0.00 states/eV/cell

```
data_LiBS2
_cell_length_a 9.764
_cell_length_b 8.546
_cell_length_c 16.955
_cell_angle_alpha 90.00
_cell_angle_beta 92.31
_cell_angle_gamma 90.00
_symmetry_space_group_name_H-M 'C 1 2/c 1'
_symmetry_Int_Tables_number 15
_symmetry_space_group_name_Hall '-C 2yc'
loop_
_atom_site_label
_atom_site_type_symbol
_atom_site_fract_x
_atom_site_fract_y
_atom_site_fract_z
Li1 Li 0.149 0.209 0.129
Li2 Li 0.150 0.300 0.619
B1 B 0.101 0.453 0.293
B2 B 0.113 0.136 0.937
S1 S 0.000 0.284 0.250
S2 S 0.000 0.379 0.750
S3 S 0.015 0.240 0.997
S4 S 0.206 0.047 0.869
S5 S 0.245 0.452 0.357
```



[10]
The following is a GGA-PBE calculation of an optimized crystal structure of LiBS2, from Alexandria.

Results
Total energy   -4.873 eV/atom
Formation energy from raw total energies   -0.6617 eV/atom
Total moment   0.00 Bohr magnetons per cell
Density of states at the Fermi level   0.00 states/eV/cell

```
data_LiBS2
_cell_length_a 4.426
_cell_length_b 8.084
_cell_length_c 6.117
_cell_angle_alpha 90.00
_cell_angle_beta 110.79
_cell_angle_gamma 90.00
_symmetry_space_group_name_H-M 'P 1 21 1'
_symmetry_Int_Tables_number 4
_symmetry_space_group_name_Hall 'P 2yb'
loop_
_atom_site_label
_atom_site_type_symbol
_atom_site_fract_x
_atom_site_fract_y
_atom_site_fract_z
Li1 Li 0.127 0.000 0.258
B1 B 0.152 0.396 0.296
S1 S 0.030 0.280 0.053
S2 S 0.272 0.517 0.535
```



[11]
The following is a GGA-PBE calculation of an optimized crystal structure of LiBS2, from Alexandria.

Results
Total energy   -4.990 eV/atom
Formation energy from raw total energies   -0.7780 eV/atom
Total moment   0.00 Bohr magnetons per cell
Density of states at the Fermi level   0.00 states/eV/cell

```
data_LiBS2
_cell_length_a 5.666
_cell_length_b 7.596
_cell_length_c 5.606
_cell_angle_alpha 90.00
_cell_angle_beta 90.00
_cell_angle_gamma 90.00
_symmetry_space_group_name_H-M 'P n a 21'
_symmetry_Int_Tables_number 33
_symmetry_space_group_name_Hall 'P 2c -2n'
loop_
_atom_site_label
_atom_site_type_symbol
_atom_site_fract_x
_atom_site_fract_y
_atom_site_fract_z
Li1 Li 0.070 0.120 0.000
B1 B 0.056 0.625 0.987
S1 S 0.033 0.593 0.640
S2 S 0.113 0.164 0.578
```



[12]
The following is a GGA-PBE calculation of an optimized crystal structure of LiBS2, from Alexandria.

Results
Total energy   -4.946 eV/atom
Formation energy from raw total energies   -0.7345 eV/atom
Total moment   0.00 Bohr magnetons per cell
Density of states at the Fermi level   0.00 states/eV/cell

```
data_LiBS2
_cell_length_a 8.981
_cell_length_b 8.983
_cell_length_c 12.116
_cell_angle_alpha 90.00
_cell_angle_beta 100.80
_cell_angle_gamma 90.00
_symmetry_space_group_name_H-M 'C 1 2/c 1'
_symmetry_Int_Tables_number 15
_symmetry_space_group_name_Hall '-C 2yc'
loop_
_atom_site_label
_atom_site_type_symbol
_atom_site_fract_x
_atom_site_fract_y
_atom_site_fract_z
Li1 Li 0.031 0.187 0.381
Li2 Li 0.217 0.437 0.126
B1 B 0.100 0.190 0.659
B2 B 0.145 0.435 0.841
S1 S 0.000 0.064 0.750
S2 S 0.000 0.439 0.250
S3 S 0.047 0.313 0.940
S4 S 0.204 0.063 0.566
S5 S 0.249 0.313 0.750
```



Question: Look up the formation energy from raw total energies of the twelfth one.
Answer: -0.7345 eV/atom



Question: What is the formula in the first record?
Answer: LiBS2



Question: Which of these has the lowest total energy?
Answer: Li5B7S13